A relaxed La2MnCrO6 crystal. Source: Alexandria via LeMat-Bulk, functional PBE with a Hubbard U.

Summary:
Raw total energy (eV per formula unit): -80.0
Symmetry: No. 2

Cell lengths 5.5344, 5.5849, 7.8515 Å; angles 90.15, 90.46, 90.06 degrees
Fractional positions:
1 La 0.0082 0.4616 0.2492
2 La 0.4909 0.9620 0.2505
3 La 0.5091 0.0380 0.7495
4 La 0.9918 0.5384 0.7508
5 Mn 0.0000 0.0000 0.0000
6 Mn 0.5000 0.5000 0.5000
7 Cr 0.0000 0.0000 0.5000
8 Cr 0.5000 0.5000 0.0000
9 O 0.0773 0.9842 0.7518
10 O 0.2107 0.7127 0.0420
11 O 0.2150 0.7126 0.4603
12 O 0.2874 0.2099 0.0398
13 O 0.2879 0.2152 0.4583
14 O 0.4232 0.4836 0.7487
15 O 0.5768 0.5164 0.2513
16 O 0.7121 0.7848 0.5417
17 O 0.7126 0.7901 0.9602
18 O 0.7850 0.2874 0.5397
19 O 0.7893 0.2873 0.9580
20 O 0.9227 0.0158 0.2482